1.
4
Lattice="5.934 -0.020 -0.013 4.166 4.225 -0.013 4.166 1.735 3.853" Properties=species:S:1:pos:R:3 comment="PBE-GGA BaAsF2, relaxed" polymorph_energy_ev_per_atom=0.000 energy_ev_per_atom=-4.764 magmom_total_mub_per_atom=0.1764 spacegroup="R-3m (166)" pbc="T T T"
As 0.000 0.000 0.000
Ba 7.133 2.970 1.913
F 12.346 5.140 3.312
F 1.920 0.800 0.515

=====

2.
24
Lattice="4.563 0.000 0.000 0.000 9.511 0.000 0.000 0.000 18.651" Properties=species:S:1:pos:R:3 comment="PBE-GGA Ba3As2F, relaxed" energy_ev_per_atom=-4.512 magmom_total_mub_per_atom=0.0628 spacegroup="Pnma (62)" pbc="T T T"
Ba 1.141 3.077 14.469
Ba 3.422 6.434 4.183
Ba 3.422 1.679 5.143
Ba 1.141 7.832 13.508
Ba 3.422 0.066 16.759
Ba 1.141 9.445 1.892
Ba 1.141 4.690 7.433
Ba 3.422 4.821 11.218
Ba 1.141 1.166 10.750
Ba 3.422 8.345 7.901
Ba 3.422 3.590 1.425
Ba 1.141 5.921 17.227
As 1.141 2.417 17.932
As 3.422 7.093 0.719
As 3.422 2.338 8.607
As 1.141 7.173 10.045
As 3.422 0.831 13.384
As 1.141 8.680 5.267
As 1.141 3.925 4.058
As 3.422 5.586 14.593
F 1.141 3.616 11.812
F 3.422 5.894 6.840
F 3.422 1.139 2.486
F 1.141 8.372 16.165